(1)
Here is crystalline CrCoI2O at its relaxed geometry from the Alexandria database. Energies are from GGA-PBEsol.

Properties
energy relative to the elements, uncorrected: 7 kJ per mole of atoms
N(E_F): 4.4 states/eV/f.u.
energy: -5.28 eV per atom
M_tot: 4.4 μB/cell

a b c (Å): 3.487 5.328 5.328
angles (deg): 90.00 90.00 90.00
Site moments in Bohr magnetons follow the coordinates.
Sites, in units of the cell vectors:
I  0.000  0.000  0.500  -0.05
I  0.000  0.500  0.000  -0.05
Cr  0.500  0.500  0.500  4.06
Co  0.000  0.000  0.000  -0.11
O  0.500  0.000  0.000  -0.02

***

(2)
Here is crystalline CrCoS2I at its relaxed geometry from the Alexandria database. Energies are from GGA-PBEsol.

Properties
energy relative to the elements, uncorrected: 54 kJ per mole of atoms
N(E_F): 8.4 states/eV/f.u.
energy: -5.14 eV per atom
M_tot: 1.7 μB/cell

a b c (Å): 4.238 4.238 5.711
angles (deg): 90.00 90.00 90.00
Site moments in Bohr magnetons follow the coordinates.
Sites, in units of the cell vectors:
I  0.000  0.000  0.500  0.04
Cr  0.000  0.000  0.000  -0.59
S  0.000  0.500  0.000  0.05
S  0.500  0.000  0.000  0.05
Co  0.500  0.500  0.500  2.04

***

(3)
Here is crystalline CrCoTeI2 at its relaxed geometry from the Alexandria database. Energies are from GGA-PBEsol.

Properties
energy relative to the elements, uncorrected: 90 kJ per mole of atoms
N(E_F): 8.6 states/eV/f.u.
energy: -4.07 eV per atom
M_tot: 5.9 μB/cell

a b c (Å): 5.178 5.356 5.356
angles (deg): 90.00 90.00 90.00
Site moments in Bohr magnetons follow the coordinates.
Sites, in units of the cell vectors:
I  0.000  0.000  0.500  0.02
I  0.000  0.500  0.000  0.02
Cr  0.000  0.000  0.000  3.20
Te  0.500  0.000  0.000  -0.11
Co  0.500  0.500  0.500  2.31

***

(4)
Here is crystalline Cr2InCo at its relaxed geometry from the Alexandria database. Energies are from GGA-PBEsol.

Properties
N(E_F): 3.5 states/eV/f.u.
energy: -7.47 eV per atom
calculated formation energy: 327 meV/atom
M_tot: 0.0 μB/cell

a b c (Å): 2.837 4.350 4.684
angles (deg): 104.15 107.63 90.00
Sites, in units of the cell vectors:
Co  0.500  0.000  0.000
Cr  0.236  0.178  0.471
Cr  0.764  0.822  0.529
In  0.000  0.500  0.000

***

(5)
Here is crystalline Cr2InCo at its relaxed geometry from the Alexandria database. Energies are from GGA-PBEsol.

Properties
N(E_F): 2.1 states/eV/f.u.
energy: -7.56 eV per atom
calculated formation energy: 238 meV/atom
M_tot: 0.1 μB/cell

a b c (Å): 2.861 2.869 6.374
angles (deg): 90.00 92.09 90.00
Site moments in Bohr magnetons follow the coordinates.
Sites, in units of the cell vectors:
Co  0.506  0.500  0.786  0.10
Cr  0.050  0.000  0.003  0.07
Cr  0.456  0.500  0.201  -0.10
In  0.989  0.000  0.509  0.00

***

(6)
Here is crystalline CrIn2Co at its relaxed geometry from the Alexandria database. Energies are from GGA-PBEsol.

Properties
N(E_F): 3.9 states/eV/f.u.
energy: -5.49 eV per atom
calculated formation energy: 493 meV/atom
M_tot: 3.7 μB/cell
ΔE to the lowest computed polymorph: 0.2453 eV/atom

a b c (Å): 4.497 4.497 4.497
angles (deg): 60.00 60.00 60.00
Site moments in Bohr magnetons follow the coordinates.
Sites, in units of the cell vectors:
Co  0.500  0.500  0.500  0.59
Cr  0.250  0.250  0.250  2.94
In  0.000  0.000  0.000  -0.01
In  0.750  0.750  0.750  -0.05

***

> What is the formula in the second record?

CrCoS2I